# 1
The following is a DFT calculation (PBE) of ErScSn after structural relaxation.

Unit cell a=4.3930 b=4.3930 c=8.0930 alpha=90.00 beta=90.00 gamma=90.00
Closest atoms and distances in Å follow each position.
Positions (direct):
Er 0.2500 0.2500 0.1561  5 Sn 3.16-3.17
Er 0.7500 0.7500 0.8439  5 Sn 3.16-3.17
Sc 0.2500 0.7500 0.5000  4 Sn 3.08, 4 Sc 3.11
Sc 0.7500 0.2500 0.5000  4 Sn 3.08, 4 Sc 3.11
Sn 0.2500 0.2500 0.7660  4 Sc 3.08, 5 Er 3.16-3.17
Sn 0.7500 0.7500 0.2340  4 Sc 3.08, 5 Er 3.16-3.17

## Properties
E above lowest polymorph   0.00 eV/f.u.
Symmetry   P4/nmm
Calculated formation energy   -0.62 eV per atom

---

# 2
The following is a DFT calculation (PBE) of Ca3BrO after structural relaxation.

Unit cell a=4.9898 b=4.9898 c=4.9898 alpha=90.00 beta=90.00 gamma=90.00
Closest atoms and distances in Å follow each position.
Positions (direct):
Ca 0.0000 0.0000 0.5000  2 O 2.49
Ca 0.0000 0.5000 0.0000  2 O 2.49
Ca 0.5000 0.0000 0.0000  2 O 2.49
Br 0.5000 0.5000 0.5000  12 Ca 3.53
O 0.0000 0.0000 0.0000  6 Ca 2.49

## Properties
E above lowest polymorph   0.00 eV/f.u.
Symmetry   Pm-3m
Raw formation energy   -1210 meV/atom

---

# 3
The following is a DFT calculation (PBE) of SmDyBe2Pd5 after structural relaxation.

Unit cell a=4.0668 b=4.0668 c=9.0471 alpha=90.00 beta=90.00 gamma=90.00
Closest atoms and distances in Å follow each position.
Positions (direct):
Sm 0.0000 0.0000 0.0000  12 Pd 2.88-3.02
Dy 0.0000 0.0000 0.5000  8 Pd 3.07, 8 Be 3.11
Be 0.5000 0.5000 0.3678  4 Pd 2.31, 1 Be 2.39
Be 0.5000 0.5000 0.6322  4 Pd 2.31, 1 Be 2.39
Pd 0.0000 0.5000 0.2464  2 Be 2.31
Pd 0.0000 0.5000 0.7536  2 Be 2.31
Pd 0.5000 0.0000 0.2464  2 Be 2.31
Pd 0.5000 0.0000 0.7536  2 Be 2.31
Pd 0.5000 0.5000 0.0000  4 Sm 2.88, 8 Pd 3.02

## Properties
Symmetry   P4/mmm
Calculated formation energy   -0.71 eV per atom

---

# 4
The following is a DFT calculation (PBE) of NpNiSb2 after structural relaxation.

Unit cell a=9.6479 b=9.6479 c=9.6479 alpha=153.72 beta=153.72 gamma=37.50
Closest atoms and distances in Å follow each position.
Positions (direct):
Np 0.1277 0.1277 0.0000  4 Ni 3.13, 8 Sb 3.20-3.22
Np 0.8723 0.8723 0.0000  4 Ni 3.13, 8 Sb 3.20-3.22
Ni 0.2500 0.7500 0.5000  4 Sb 2.59
Ni 0.7500 0.2500 0.5000  4 Sb 2.59
Sb 0.0000 0.5000 0.5000  4 Sb 3.10, 4 Np 3.20
Sb 0.3249 0.3249 0.0000  4 Ni 2.59
Sb 0.5000 0.0000 0.5000  4 Sb 3.10, 4 Np 3.20
Sb 0.6751 0.6751 0.0000  4 Ni 2.59

## Properties
Symmetry   I4/mmm
Raw formation energy   -283 meV/atom

---

# 5
The following is a DFT calculation (PBE) of RbHg2SbPb after structural relaxation.

Unit cell a=7.2474 b=7.2474 c=7.2474 alpha=139.09 beta=135.61 gamma=61.95
Closest atoms and distances in Å follow each position.
Positions (direct):
Rb 0.0000 0.0000 0.0000  4 Sb 3.97, 4 Pb 4.00-4.15, 8 Hg 4.02-4.13
Hg 0.6257 0.6257 0.0000  1 Sb 2.92, 2 Hg 2.96, 2 Pb 3.14
Hg 0.7491 0.2491 0.5000  2 Hg 2.96, 2 Sb 3.26
Sb 0.3909 0.3909 0.0000  3 Hg 2.92-3.26, 2 Pb 3.09
Pb 0.2487 0.7487 0.5000  2 Sb 3.09, 2 Hg 3.14

## Properties
Symmetry   Imm2
Raw formation energy   -177 meV/atom

---

# 6
The following is a DFT calculation (PBE) of Pm6PrHo12 after structural relaxation.

Unit cell a=8.6513 b=8.6513 c=8.6513 alpha=79.71 beta=79.71 gamma=79.71
Closest atoms and distances in Å follow each position.
Positions (direct):
Pm 0.2695 0.2695 0.6645  1 Pr 3.06, 3 Ho 3.32-3.38
Pm 0.2695 0.6645 0.2695  1 Pr 3.06, 3 Ho 3.32-3.38
Pm 0.3355 0.7305 0.7305  1 Pr 3.06, 3 Ho 3.32-3.38
Pm 0.6645 0.2695 0.2695  1 Pr 3.06, 3 Ho 3.32-3.38
Pm 0.7305 0.3355 0.7305  1 Pr 3.06, 3 Ho 3.32-3.38
Pm 0.7305 0.7305 0.3355  1 Pr 3.06, 3 Ho 3.32-3.38
Pr 0.5000 0.5000 0.5000  6 Pm 3.06
Ho 0.0157 0.0157 0.6966  3 Pm 3.32-3.38, 5 Ho 3.47-3.54
Ho 0.0157 0.6966 0.0157  3 Pm 3.32-3.38, 5 Ho 3.47-3.54
Ho 0.0185 0.3625 0.3625  7 Ho 3.47-3.81, 5 Pm 3.56-3.67
Ho 0.3034 0.9843 0.9843  3 Pm 3.32-3.38, 5 Ho 3.47-3.54
Ho 0.3625 0.0185 0.3625  7 Ho 3.47-3.81, 5 Pm 3.56-3.67
Ho 0.3625 0.3625 0.0185  7 Ho 3.47-3.81, 5 Pm 3.56-3.67
Ho 0.6375 0.6375 0.9815  7 Ho 3.47-3.81, 5 Pm 3.56-3.67
Ho 0.6375 0.9815 0.6375  7 Ho 3.47-3.81, 5 Pm 3.56-3.67
Ho 0.6966 0.0157 0.0157  3 Pm 3.32-3.38, 5 Ho 3.47-3.54
Ho 0.9815 0.6375 0.6375  7 Ho 3.47-3.81, 5 Pm 3.56-3.67
Ho 0.9843 0.3034 0.9843  3 Pm 3.32-3.38, 5 Ho 3.47-3.54
Ho 0.9843 0.9843 0.3034  3 Pm 3.32-3.38, 5 Ho 3.47-3.54

## Properties
E above lowest polymorph   0.00 eV/f.u.
Symmetry   R-3m
Calculated formation energy   0.11 eV per atom

---

# 7
The following is a DFT calculation (PBE) of Eu2ZnO after structural relaxation.

Unit cell a=3.2343 b=3.2343 c=7.7704 alpha=90.00 beta=90.00 gamma=90.00
Closest atoms and distances in Å follow each position.
Positions (direct):
Eu 0.0000 0.0000 0.1967  4 O 2.75, 1 Eu 3.06
Eu 0.0000 0.0000 0.8033  4 O 2.75, 1 Eu 3.06
Zn 0.5000 0.5000 0.5000  4 Zn 3.23, 8 Eu 3.28
O 0.5000 0.5000 0.0000  8 Eu 2.75

## Properties
E above lowest polymorph   0.13 eV/f.u.
Symmetry   P4/mmm
Raw formation energy   -1081 meV/atom

---

# 8
The following is a DFT calculation (PBE) of AcNdDy6 after structural relaxation.

Unit cell a=5.1092 b=5.1092 c=10.2303 alpha=90.00 beta=90.00 gamma=90.00
Closest atoms and distances in Å follow each position.
Positions (direct):
Ac 0.0000 0.0000 0.0000  12 Dy 3.61-3.66
Nd 0.0000 0.0000 0.5000  12 Dy 3.57-3.61
Dy 0.0000 0.5000 0.2561  8 Dy 3.57-3.66, 2 Nd 3.57, 2 Ac 3.66
Dy 0.0000 0.5000 0.7439  8 Dy 3.57-3.66, 2 Nd 3.57, 2 Ac 3.66
Dy 0.5000 0.0000 0.2561  8 Dy 3.57-3.66, 2 Nd 3.57, 2 Ac 3.66
Dy 0.5000 0.0000 0.7439  8 Dy 3.57-3.66, 2 Nd 3.57, 2 Ac 3.66
Dy 0.5000 0.5000 0.0000  4 Ac 3.61, 8 Dy 3.66
Dy 0.5000 0.5000 0.5000  8 Dy 3.57, 4 Nd 3.61

## Properties
E above lowest polymorph   0.00 eV/f.u.
Symmetry   P4/mmm
Calculated formation energy   0.04 eV per atom

---

# 9
The following is a DFT calculation (PBE) of Ga3SiPd after structural relaxation.

Unit cell a=4.7892 b=4.7892 c=4.7892 alpha=90.00 beta=90.00 gamma=90.00
Closest atoms and distances in Å follow each position.
Positions (direct):
Ga 0.0000 0.0000 0.5000  2 Pd 2.39
Ga 0.0000 0.5000 0.0000  2 Pd 2.39
Ga 0.5000 0.0000 0.0000  2 Pd 2.39
Si 0.5000 0.5000 0.5000  12 Ga 3.39
Pd 0.0000 0.0000 0.0000  6 Ga 2.39

## Properties
E above lowest polymorph   0.00 eV/f.u.
Symmetry   Pm-3m
Raw formation energy   291 meV/atom

---

# 10
The following is a DFT calculation (PBE) of K2Pa2CrSe6 after structural relaxation.

Unit cell a=7.0760 b=7.0760 c=8.2321 alpha=97.99 beta=97.99 gamma=120.13
Closest atoms and distances in Å follow each position.
Positions (direct):
K 0.1650 0.8350 0.0000  6 Se 3.33-3.38
K 0.8350 0.1650 0.0000  6 Se 3.33-3.38
Pa 0.3355 0.6645 0.5000  6 Se 2.83-2.85
Pa 0.6645 0.3355 0.5000  6 Se 2.83-2.85
Cr 0.0000 0.0000 0.5000  6 Se 2.75-2.83
Se 0.0647 0.3977 0.6985  2 Pa 2.83-2.85, 1 Cr 2.83
Se 0.2574 0.2574 0.3030  1 Cr 2.75, 2 Pa 2.84
Se 0.3977 0.0647 0.6985  2 Pa 2.83-2.85, 1 Cr 2.83
Se 0.6023 0.9353 0.3015  2 Pa 2.83-2.85, 1 Cr 2.83
Se 0.7426 0.7426 0.6970  1 Cr 2.75, 2 Pa 2.84
Se 0.9353 0.6023 0.3015  2 Pa 2.83-2.85, 1 Cr 2.83

## Properties
Symmetry   C2/m
Raw formation energy   -1185 meV/atom

---

# 11
The following is a DFT calculation (PBE) of CdNi2Te after structural relaxation.

Unit cell a=3.5455 b=3.9540 c=5.1567 alpha=90.00 beta=110.01 gamma=90.00
Closest atoms and distances in Å follow each position.
Positions (direct):
Cd 0.0000 0.0000 0.0000  7 Ni 2.72-2.77
Ni 0.5616 0.5000 0.1219  2 Ni 2.50, 3 Te 2.70-2.79, 4 Cd 2.72
Ni 0.7171 0.0000 0.4393  2 Ni 2.50, 3 Cd 2.72-2.77, 4 Te 2.72
Te 0.2796 0.5000 0.5642  7 Ni 2.70-2.79

## Properties
E above lowest polymorph   0.00 eV/f.u.
Symmetry   Pm
Raw formation energy   49 meV/atom

---

| no. | total energy (eV/atom) |
| --- | --- |
| 1 | -5.58 |
| 2 | -3.74 |
| 3 | -5.46 |
| 4 | -7.02 |
| 5 | -2.06 |
| 6 | -4.53 |
| 7 | -7.78 |
| 8 | -4.52 |
| 9 | -3.65 |
| 10 | -5.89 |
| 11 | -3.86 |